Material: La2AlAu2
Method: DFT, PBE
State: optimized geometry

Results
Space group: C2/m (12)
Total DFT energy (no corrections) in eV per atom: -4.770
Theoretical density in Mg/m³: 9.1

abc: 6.090 6.090 11.364
angles: 116.51 116.51 43.44
Atoms (fractional coordinates):
La 0.001 0.001 0.337
La 0.189 0.189 0.108
La 0.811 0.811 0.892
La 0.999 0.999 0.663
Al 0.281 0.281 0.640
Al 0.719 0.719 0.360
Au 0.348 0.348 0.432
Au 0.482 0.482 0.122
Au 0.518 0.518 0.878
Au 0.652 0.652 0.568